[1]
ThGa12Cu6: relaxed, GGA-PBE.

Calculated values
Magnetization (μB/atom): 0.000
N(E_F) (states/eV per atom): 0.4223
Calculated formation energy (meV/atom): -68
Final energy (eV for the cell shown): -208.840

Cell lengths 11.2352, 11.2352, 8.7869 Å; angles 90.00, 90.00, 120.00 degrees
Space group R-3m (No. 166, hexagonal axes)
Inequivalent atoms, fractional coordinates:
Th 0.0000 0.0000 0.0000 [3 per cell]
Ga 0.0000 0.3883 0.5000 [18 per cell]
Ga 0.0843 0.1686 0.3122 [18 per cell]
Cu 0.0492 0.5246 0.2354 [18 per cell]

=====

[2]
CeSmPI: relaxed, GGA-PBE.

Calculated values
Magnetization (μB/atom): 0.262
Formation energy (no corrections) (meV/atom): -1294.0
N(E_F) (states/eV per atom): 1.6983
Final energy (eV for the cell shown): -68.367

Cell lengths 4.1133, 4.1133, 23.3524 Å; angles 90.00, 90.00, 120.00 degrees
Space group R3m (No. 160, hexagonal axes)
Inequivalent atoms, fractional coordinates:
Ce 0.0000 0.0000 0.0000 [3 per cell]
Sm 0.0000 0.0000 0.2030 [3 per cell]
P 0.0000 0.0000 0.6015 [3 per cell]
I 0.0000 0.0000 0.4354 [3 per cell]

=====

Q: What is the magnetization in the first record?
A: 0.000 μB/atom